Entry 1:
A plane-wave DFT calculation with PBE was carried out for an optimized crystal structure of NdZrSn.

Total DFT energy (no corrections)   -5.2155 eV/atom

Cell: 7.3113 7.3113 7.3113 Å, 90.00 90.00 90.00°
Space group F-43m (No. 216)
Inequivalent atoms, fractional coordinates:
Nd: 0.0000 0.0000 0.0000 (multiplicity 4)
Zr: 0.2500 0.2500 0.2500 (multiplicity 4)
Sn: 0.2500 0.2500 0.7500 (multiplicity 4)

---

Entry 2:
A plane-wave DFT calculation with PBE was carried out for an optimized crystal structure of NdZrSn.

Total DFT energy (no corrections)   -5.9163 eV/atom

Cell: 7.1329 7.1329 7.1329 Å, 90.00 90.00 90.00°
Space group F-43m (No. 216)
Inequivalent atoms, fractional coordinates:
Nd: 0.0000 0.0000 0.0000 (multiplicity 4)
Zr: 0.0000 0.0000 0.5000 (multiplicity 4)
Sn: 0.2500 0.2500 0.2500 (multiplicity 4)

---

Entry 3:
A plane-wave DFT calculation with PBE was carried out for an optimized crystal structure of SrNd.

Total DFT energy (no corrections)   -3.0516 eV/atom
ΔE to the lowest computed polymorph   0 meV/atom

Cell: 3.8710 3.8710 6.4585 Å, 90.00 90.00 120.00°
Space group P-6m2 (No. 187)
Inequivalent atoms, fractional coordinates:
Sr: 0.0000 0.0000 0.0000 (multiplicity 1)
Nd: 0.3333 0.6667 0.5000 (multiplicity 1)

---

Entry 4:
A plane-wave DFT calculation with PBE was carried out for an optimized crystal structure of SrNd.

Total DFT energy (no corrections)   -1.5181 eV/atom
ΔE to the lowest computed polymorph   1533 meV/atom

Cell: 7.7282 7.7282 7.7282 Å, 90.00 90.00 90.00°
Space group F-43m (No. 216)
Inequivalent atoms, fractional coordinates:
Sr: 0.0000 0.0000 0.0000 (multiplicity 4)
Nd: 0.2500 0.2500 0.2500 (multiplicity 4)

---

Entry 5:
A plane-wave DFT calculation with PBE was carried out for an optimized crystal structure of SrNd.

Total DFT energy (no corrections)   -2.4647 eV/atom
ΔE to the lowest computed polymorph   587 meV/atom

Cell: 6.9809 6.9809 6.9809 Å, 90.00 90.00 90.00°
Space group Fm-3m (No. 225)
Inequivalent atoms, fractional coordinates:
Sr: 0.0000 0.0000 0.0000 (multiplicity 4)
Nd: 0.0000 0.0000 0.5000 (multiplicity 4)

---

Entry 6:
A plane-wave DFT calculation with PBE was carried out for an optimized crystal structure of SrNdTa.

Total DFT energy (no corrections)   -4.5483 eV/atom

Cell: 7.4586 7.4586 7.4586 Å, 90.00 90.00 90.00°
Space group F-43m (No. 216)
Inequivalent atoms, fractional coordinates:
Sr: 0.0000 0.0000 0.0000 (multiplicity 4)
Nd: 0.2500 0.2500 0.2500 (multiplicity 4)
Ta: 0.0000 0.0000 0.5000 (multiplicity 4)

---

Entry 7:
A plane-wave DFT calculation with PBE was carried out for an optimized crystal structure of Sr2NdTe3.

Total DFT energy (no corrections)   -4.5427 eV/atom

Cell: 4.6145 4.6145 11.5330 Å, 90.00 90.00 120.00°
Space group P-3m1 (No. 164)
Inequivalent atoms, fractional coordinates:
Sr: 0.3333 0.6667 0.1705 (multiplicity 2)
Nd: 0.0000 0.0000 0.5000 (multiplicity 1)
Te: 0.0000 0.0000 0.0000 (multiplicity 1)
Te: 0.3333 0.6667 0.6582 (multiplicity 2)

---

Entry 8:
A plane-wave DFT calculation with PBE was carried out for an optimized crystal structure of SrNdTe.

Total DFT energy (no corrections)   -3.8221 eV/atom

Cell: 7.5948 7.5948 7.5948 Å, 90.00 90.00 90.00°
Space group F-43m (No. 216)
Inequivalent atoms, fractional coordinates:
Sr: 0.0000 0.0000 0.0000 (multiplicity 4)
Nd: 0.0000 0.0000 0.5000 (multiplicity 4)
Te: 0.2500 0.2500 0.7500 (multiplicity 4)

---

Entry 9:
A plane-wave DFT calculation with PBE was carried out for an optimized crystal structure of SrNdTe2.

Total DFT energy (no corrections)   -4.7273 eV/atom

Cell: 4.5943 4.5943 6.5058 Å, 90.00 90.00 90.00°
Space group P4/mmm (No. 123)
Inequivalent atoms, fractional coordinates:
Sr: 0.0000 0.0000 0.0000 (multiplicity 1)
Nd: 0.5000 0.5000 0.5000 (multiplicity 1)
Te: 0.0000 0.0000 0.5000 (multiplicity 1)
Te: 0.5000 0.5000 0.0000 (multiplicity 1)

---

Entry 10:
A plane-wave DFT calculation with PBE was carried out for an optimized crystal structure of SrNd2Te3.

Total DFT energy (no corrections)   -4.9675 eV/atom

Cell: 4.5800 4.5800 11.1798 Å, 90.00 90.00 120.00°
Space group P-3m1 (No. 164)
Inequivalent atoms, fractional coordinates:
Sr: 0.0000 0.0000 0.0000 (multiplicity 1)
Nd: 0.3333 0.6667 0.6507 (multiplicity 2)
Te: 0.0000 0.0000 0.5000 (multiplicity 1)
Te: 0.3333 0.6667 0.1776 (multiplicity 2)

---

Entry 11:
A plane-wave DFT calculation with PBE was carried out for an optimized crystal structure of SrNdTh.

Total DFT energy (no corrections)   -3.6724 eV/atom
ΔE to the lowest computed polymorph   0 meV/atom

Cell: 8.0704 8.0704 8.0704 Å, 90.00 90.00 90.00°
Space group F-43m (No. 216)
Inequivalent atoms, fractional coordinates:
Sr: 0.0000 0.0000 0.0000 (multiplicity 4)
Nd: 0.2500 0.2500 0.7500 (multiplicity 4)
Th: 0.0000 0.0000 0.5000 (multiplicity 4)

---

Entry 12:
A plane-wave DFT calculation with PBE was carried out for an optimized crystal structure of SrNdTl.

Total DFT energy (no corrections)   -3.0338 eV/atom

Cell: 7.7748 7.7748 7.7748 Å, 90.00 90.00 90.00°
Space group F-43m (No. 216)
Inequivalent atoms, fractional coordinates:
Sr: 0.0000 0.0000 0.0000 (multiplicity 4)
Nd: 0.0000 0.0000 0.5000 (multiplicity 4)
Tl: 0.2500 0.2500 0.7500 (multiplicity 4)